Li5NiO4 | PBE with a Hubbard U | relaxed

Lattice parameters (Å, degrees): 4.7715 8.6791 9.4230 90.00 90.00 90.00
Last column: nearest neighbours and their distance in Å.
Space group Aea2 (No. 41)
Asymmetric unit:
Li: 0.0000 0.0000 0.0000 (multiplicity 4)  4 O 1.99-2.02
Li: 0.0269 0.2053 0.7655 (multiplicity 8)  4 O 1.94-2.08
Li: 0.0527 0.2139 0.5174 (multiplicity 8)  4 O 1.92-2.12
Ni: 0.0000 0.0000 0.2740 (multiplicity 4)  4 O 1.88
O: 0.1664 0.1389 0.1455 (multiplicity 8)  1 Ni 1.88, 5 Li 1.92-2.04
O: 0.2282 0.3717 0.8866 (multiplicity 8)  1 Ni 1.88, 4 Li 1.94-2.08

Summary:
calculated total energy = -4.772 eV per atom
volume = 97.6 Å³/f.u.